PBE Mg4AsPb, relaxed; N(E_F) = 2.91 states/eV/cell; space-group type = F-43m (216); formation enthalpy at 0 K = 89.2 meV/atom; DFT total energy = -2.37 eV per atom
1.0
0.000 4.119 4.119
4.119 0.000 4.119
4.119 4.119 0.000
Mg As Pb
4 1 1
direct
0.876 0.375 0.375
0.375 0.375 0.876
0.375 0.876 0.375
0.375 0.375 0.375
0.000 0.000 0.000
0.750 0.750 0.750


PBE MgAsRhPb2, relaxed; N(E_F) = 1.20 states/eV/cell; space-group type = P4/mmm (123); formation enthalpy at 0 K = 88.1 meV/atom; DFT total energy = -4.11 eV per atom
1.0
5.196 0.000 0.000
0.000 4.950 0.000
0.000 0.000 5.196
Pb As Rh Mg
2 1 1 1
direct
0.000 0.000 0.500
0.500 0.000 0.000
0.500 0.500 0.500
0.000 0.000 0.000
0.000 0.500 0.000


PBE MgAsPbSe2, relaxed; relative energy among the computed polymorphs = 0.0 meV/atom; N(E_F) = 5.61 states/eV/cell; raw formation energy = 0.0964 eV per atom; space-group type = P4/mmm (123); DFT total energy = -3.29 eV per atom
1.0
5.458 0.000 0.000
0.000 5.458 0.000
0.000 0.000 5.107
Pb As Mg Se
1 1 1 2
direct
0.500 0.500 0.500
0.000 0.000 0.500
0.000 0.000 0.000
0.000 0.500 0.000
0.500 0.000 0.000